(1)
# CeSnHg PBE optimized geometry
data_CeSnHg
_cell_length_a 10.314
_cell_length_b 4.682
_cell_length_c 7.233
_cell_angle_alpha 90.00
_cell_angle_beta 90.00
_cell_angle_gamma 90.00
_space_group_name_H-M_alt 'P n m a'
_space_group_IT_number 62
_space_group_name_Hall '-P 2ac 2n'
loop_
_atom_site_label
_atom_site_type_symbol
_atom_site_fract_x
_atom_site_fract_y
_atom_site_fract_z
Ce1 Ce 0.109 0.250 0.211
Sn1 Sn 0.128 0.250 0.753
Hg1 Hg 0.129 0.750 0.496
# - E: -11.37 eV per formula unit
# - V: 87.3 Å³/f.u.
# - ΔH_f (0 K): -0.377 eV/atom

(2)
# TaCr2Si PBE optimized geometry
data_TaCr2Si
_cell_length_a 6.812
_cell_length_b 6.812
_cell_length_c 5.111
_cell_angle_alpha 90.00
_cell_angle_beta 90.00
_cell_angle_gamma 90.00
_space_group_name_H-M_alt 'I -4 2 d'
_space_group_IT_number 122
_space_group_name_Hall 'I -4 2bw'
loop_
_atom_site_label
_atom_site_type_symbol
_atom_site_fract_x
_atom_site_fract_y
_atom_site_fract_z
Ta1 Ta 0.000 0.000 0.000
Cr1 Cr 0.212 0.750 0.625
Si1 Si 0.000 0.000 0.500
# - E: -34.20 eV per formula unit
# - V: 59.3 Å³/f.u.
# - Raw formation energy: 581 meV/atom

Among the records above, which one has the highest E? CeSnHg

Which formula does entry 2 have? TaCr2Si

Repeat the first record exactly.
# CeSnHg PBE optimized geometry
data_CeSnHg
_cell_length_a 10.314
_cell_length_b 4.682
_cell_length_c 7.233
_cell_angle_alpha 90.00
_cell_angle_beta 90.00
_cell_angle_gamma 90.00
_space_group_name_H-M_alt 'P n m a'
_space_group_IT_number 62
_space_group_name_Hall '-P 2ac 2n'
loop_
_atom_site_label
_atom_site_type_symbol
_atom_site_fract_x
_atom_site_fract_y
_atom_site_fract_z
Ce1 Ce 0.109 0.250 0.211
Sn1 Sn 0.128 0.250 0.753
Hg1 Hg 0.129 0.750 0.496
# - E: -11.37 eV per formula unit
# - V: 87.3 Å³/f.u.
# - ΔH_f (0 K): -0.377 eV/atom

What is the formula in the first record? CeSnHg